The following is a DFT calculation (PBE-GGA) of a geometry-optimized BaTa2Co structure.

Cell: 5.457 10.610 2.909 Å, 90.00 90.00 90.00°
Space group Cmmm (No. 65)
Asymmetric unit:
Ba: 0.000 0.000 0.000 x2
Ta: 0.250 0.250 0.500 x4
Co: 0.000 0.500 0.000 x2

## Properties
- total magnetic moment (μB per formula unit) = 0.913
- calculated volume (Å³/atom) = 21.1
- relative energy among the computed polymorphs (meV per atom) = 835

The following is a DFT calculation (PBE-GGA) of a geometry-optimized BaTaCo structure.

Cell: 6.641 6.641 6.641 Å, 90.00 90.00 90.00°
Space group F-43m (No. 216)
Asymmetric unit:
Ba: 0.000 0.000 0.000 x4
Ta: 0.000 0.000 0.500 x4
Co: 0.250 0.250 0.250 x4

## Properties
- total magnetic moment (μB per formula unit) = 0.001
- calculated volume (Å³/atom) = 24.4
- relative energy among the computed polymorphs (meV per atom) = 870

Which value of calculated volume does entry 1 give?
21.1 Å³/atom

Which formula does entry 1 have?
BaTa2Co